Record 1
Hf2BiAs2: optimized geometry, PBE.

abc: 5.017 5.017 5.720
angles: 63.99 63.99 90.00
Element x y z (fractional)
As (0.361, 0.361, 0.279)
As (0.639, 0.639, 0.721)
Hf (0.750, 0.250, 0.500)
Hf (0.250, 0.750, 0.500)
Bi (0.000, 0.000, 0.000)

## Properties
Energy of formation from the pure elements   -0.50 eV/atom
Energy above the lowest structure with this stoichiometry   62.0 meV/atom
Total magnetic moment   0.00 μB per formula unit



Record 2
Hf2BiAs: optimized geometry, PBE.

abc: 6.285 6.285 7.752
angles: 66.09 66.09 90.00
Element x y z (fractional)
As (0.500, 0.500, 0.000)
As (0.250, 0.750, 0.500)
Hf (0.585, 0.125, 0.250)
Hf (0.165, 0.625, 0.250)
Hf (0.375, 0.415, 0.750)
Hf (0.875, 0.835, 0.750)
Bi (0.000, 0.000, 0.000)
Bi (0.750, 0.250, 0.500)

## Properties
Energy of formation from the pure elements   0.16 eV/atom
Total magnetic moment   0.00 μB per formula unit



Record 3
HfBiAs3: optimized geometry, PBE.

abc: 5.257 5.257 5.257
angles: 90.00 90.00 90.00
Element x y z (fractional)
As (0.000, 0.500, 0.000)
As (0.000, 0.000, 0.500)
As (0.500, 0.000, 0.000)
Hf (0.500, 0.500, 0.500)
Bi (0.000, 0.000, 0.000)

## Properties
Energy of formation from the pure elements   1.21 eV/atom
Energy above the lowest structure with this stoichiometry   1009.9 meV/atom
Total magnetic moment   0.00 μB per formula unit